# Mn2CdAs

Mn2CdAs after structural relaxation (PBE, Alexandria).

ΔE_f (eV per atom): 0.23
Symmetry: C2/m (12)
DOS at the Fermi energy (states/eV per cell): 3.12
VASP energy (eV for the cell shown): -22.964
Calculated volume (Å³ per atom): 16.60

Cell lengths 4.8890, 4.8890, 4.4224 Å; angles 116.39, 116.39, 45.82 degrees
Positions (direct):
Mn 0.2314 0.2314 0.2303
Mn 0.7686 0.7686 0.7697
Cd 0.0000 0.0000 0.5000
As 0.5000 0.5000 0.0000